# SiNiI2N (PBE-GGA, optimized geometry)
# calculated total energy: -3.91 eV/atom
# polymorph energy (0 for the lowest one): 0.0000 eV/atom
# uncorrected formation energy: 0.6130 eV/atom
# total magnetization: 0.73 μB/f.u.
data_SiNiI2N
_chemical_formula_sum 'Si1 Ni1 I2 N1'
_space_group_name_H-M_alt 'P 1'
_space_group_IT_number 1
_cell_length_a 5.664
_cell_length_b 5.664
_cell_length_c 3.299
_cell_angle_alpha 90.00
_cell_angle_beta 90.00
_cell_angle_gamma 90.00
loop_
_space_group_symop_operation_xyz
'x,y,z'
loop_
_atom_site_label
_atom_site_fract_x
_atom_site_fract_y
_atom_site_fract_z
Si1 0.000 0.000 0.000
Ni1 0.500 0.500 0.500
I1 0.000 0.500 0.000
I2 0.500 0.000 0.000
N1 0.000 0.000 0.500

=====

# La2PuAg (PBE-GGA, optimized geometry)
# calculated total energy: -6.67 eV/atom
# polymorph energy (0 for the lowest one): 0.1064 eV/atom
# total magnetization: 6.39 μB/f.u.
# DFT formation energy: 89 meV per atom
data_La2PuAg
_chemical_formula_sum 'La6 Pu3 Ag3'
_space_group_name_H-M_alt 'P 1'
_space_group_IT_number 1
_cell_length_a 3.658
_cell_length_b 3.658
_cell_length_c 31.459
_cell_angle_alpha 90.00
_cell_angle_beta 90.00
_cell_angle_gamma 120.00
loop_
_space_group_symop_operation_xyz
'x,y,z'
loop_
_atom_site_label
_atom_site_fract_x
_atom_site_fract_y
_atom_site_fract_z
La1 0.000 0.000 0.000
La2 0.000 0.000 0.176
La3 0.333 0.667 0.667
La4 0.333 0.667 0.843
La5 0.667 0.333 0.333
La6 0.667 0.333 0.509
Pu1 0.000 0.000 0.755
Pu2 0.333 0.667 0.422
Pu3 0.667 0.333 0.089
Ag1 0.000 0.000 0.588
Ag2 0.333 0.667 0.254
Ag3 0.667 0.333 0.921